Entry 1:
# LiHoBe2H8 PBE relaxed
# - DOS(E_F) (states/eV per cell) = 0.00
# - total energy (hartree per atom) = -0.1359
# - space group = P-3, No. 147
# - V (Å³/cell) = 105.2
data_LiHoBe2H8
_chemical_formula_sum 'Li1 Ho1 Be2 H8'
_symmetry_space_group_name_H-M 'P 1'
_symmetry_Int_Tables_number 1
_symmetry_space_group_name_Hall 'P 1'
_cell_length_a 4.361
_cell_length_b 4.361
_cell_length_c 6.385
_cell_angle_alpha 90.00
_cell_angle_beta 90.00
_cell_angle_gamma 120.00
loop_
_atom_site_label
_atom_site_type_symbol
_atom_site_fract_x
_atom_site_fract_y
_atom_site_fract_z
Li1 Li 0.000 0.000 0.000
Ho1 Ho 0.000 0.000 0.500
Be1 Be 0.333 0.667 0.269
Be2 Be 0.667 0.333 0.731
H1 H 0.072 0.322 0.217
H2 H 0.250 0.928 0.217
H3 H 0.322 0.250 0.783
H4 H 0.333 0.667 0.500
H5 H 0.667 0.333 0.500
H6 H 0.678 0.750 0.217
H7 H 0.750 0.072 0.783
H8 H 0.928 0.678 0.783


Entry 2:
# HoBeH2O4 PBE relaxed
# - DOS(E_F) (states/eV per cell) = 2.53
# - total energy (hartree per atom) = -0.2310
# - space group = I222, No. 23
# - V (Å³/cell) = 66.7
data_HoBeH2O4
_chemical_formula_sum 'Ho1 Be1 H2 O4'
_symmetry_space_group_name_H-M 'P 1'
_symmetry_Int_Tables_number 1
_symmetry_space_group_name_Hall 'P 1'
_cell_length_a 4.494
_cell_length_b 4.494
_cell_length_c 4.494
_cell_angle_alpha 122.88
_cell_angle_beta 107.37
_cell_angle_gamma 99.12
loop_
_atom_site_label
_atom_site_type_symbol
_atom_site_fract_x
_atom_site_fract_y
_atom_site_fract_z
Ho1 Ho 0.000 0.000 0.000
Be1 Be 0.500 0.500 0.000
H1 H 0.330 0.830 0.500
H2 H 0.670 0.170 0.500
O1 O 0.200 0.068 0.603
O2 O 0.465 0.597 0.397
O3 O 0.535 0.932 0.132
O4 O 0.800 0.403 0.868


Entry 3:
# Be2HI PBE relaxed
# - energy above the lowest structure with this stoichiometry (kJ/mol of formula units) = 0.0
# - DOS(E_F) (states/eV per cell) = 0.08
# - total energy (hartree per atom) = -0.0917
# - space group = I-42d, No. 122
# - V (Å³/cell) = 116.1
data_Be2HI
_chemical_formula_sum 'Be4 H2 I2'
_symmetry_space_group_name_H-M 'P 1'
_symmetry_Int_Tables_number 1
_symmetry_space_group_name_Hall 'P 1'
_cell_length_a 7.087
_cell_length_b 7.087
_cell_length_c 7.087
_cell_angle_alpha 145.07
_cell_angle_beta 145.07
_cell_angle_gamma 50.23
loop_
_atom_site_label
_atom_site_type_symbol
_atom_site_fract_x
_atom_site_fract_y
_atom_site_fract_z
Be1 Be 0.375 0.211 0.336
Be2 Be 0.789 0.125 0.164
Be3 Be 0.875 0.039 0.664
Be4 Be 0.961 0.625 0.836
H1 H 0.000 0.000 0.000
H2 H 0.750 0.250 0.500
I1 I 0.250 0.750 0.500
I2 I 0.500 0.500 0.000


Entry 4:
# BeHI2 PBE relaxed
# - energy above the lowest structure with this stoichiometry (kJ/mol of formula units) = 310.3
# - DOS(E_F) (states/eV per cell) = 1.63
# - total energy (hartree per atom) = -0.0589
# - space group = Fm-3m, No. 225
# - V (Å³/cell) = 86.4
data_BeHI2
_chemical_formula_sum 'Be1 H1 I2'
_symmetry_space_group_name_H-M 'P 1'
_symmetry_Int_Tables_number 1
_symmetry_space_group_name_Hall 'P 1'
_cell_length_a 4.963
_cell_length_b 4.963
_cell_length_c 4.963
_cell_angle_alpha 60.00
_cell_angle_beta 60.00
_cell_angle_gamma 60.00
loop_
_atom_site_label
_atom_site_type_symbol
_atom_site_fract_x
_atom_site_fract_y
_atom_site_fract_z
Be1 Be 0.000 0.000 0.000
H1 H 0.500 0.500 0.500
I1 I 0.250 0.250 0.250
I2 I 0.750 0.750 0.750


Entry 5:
# BeHI2 PBE relaxed
# - energy above the lowest structure with this stoichiometry (kJ/mol of formula units) = 0.0
# - DOS(E_F) (states/eV per cell) = 0.00
# - total energy (hartree per atom) = -0.0884
# - space group = I4cm, No. 108
# - V (Å³/cell) = 296.6
data_BeHI2
_chemical_formula_sum 'Be2 H2 I4'
_symmetry_space_group_name_H-M 'P 1'
_symmetry_Int_Tables_number 1
_symmetry_space_group_name_Hall 'P 1'
_cell_length_a 7.585
_cell_length_b 7.585
_cell_length_c 7.585
_cell_angle_alpha 99.56
_cell_angle_beta 99.56
_cell_angle_gamma 131.90
loop_
_atom_site_label
_atom_site_type_symbol
_atom_site_fract_x
_atom_site_fract_y
_atom_site_fract_z
Be1 Be 0.000 0.500 0.500
Be2 Be 0.500 0.000 0.500
H1 H 0.251 0.251 0.000
H2 H 0.751 0.751 0.000
I1 I 0.115 0.615 0.230
I2 I 0.385 0.885 0.770
I3 I 0.615 0.385 0.500
I4 I 0.885 0.115 0.500


Entry 6:
# Be3HI PBE relaxed
# - energy above the lowest structure with this stoichiometry (kJ/mol of formula units) = 0.0
# - DOS(E_F) (states/eV per cell) = 1.98
# - total energy (hartree per atom) = -0.0757
# - space group = Pm-3m, No. 221
# - V (Å³/cell) = 61.9
data_Be3HI
_chemical_formula_sum 'Be3 H1 I1'
_symmetry_space_group_name_H-M 'P 1'
_symmetry_Int_Tables_number 1
_symmetry_space_group_name_Hall 'P 1'
_cell_length_a 3.956
_cell_length_b 3.956
_cell_length_c 3.956
_cell_angle_alpha 90.00
_cell_angle_beta 90.00
_cell_angle_gamma 90.00
loop_
_atom_site_label
_atom_site_type_symbol
_atom_site_fract_x
_atom_site_fract_y
_atom_site_fract_z
Be1 Be 0.000 0.000 0.500
Be2 Be 0.000 0.500 0.000
Be3 Be 0.500 0.000 0.000
H1 H 0.000 0.000 0.000
I1 I 0.500 0.500 0.500


Entry 7:
# BeHI2 PBE relaxed
# - energy above the lowest structure with this stoichiometry (kJ/mol of formula units) = 14.4
# - DOS(E_F) (states/eV per cell) = 0.00
# - total energy (hartree per atom) = -0.0870
# - space group = I-42d, No. 122
# - V (Å³/cell) = 230.5
data_BeHI2
_chemical_formula_sum 'Be2 H2 I4'
_symmetry_space_group_name_H-M 'P 1'
_symmetry_Int_Tables_number 1
_symmetry_space_group_name_Hall 'P 1'
_cell_length_a 6.947
_cell_length_b 6.947
_cell_length_c 6.947
_cell_angle_alpha 121.75
_cell_angle_beta 121.75
_cell_angle_gamma 86.99
loop_
_atom_site_label
_atom_site_type_symbol
_atom_site_fract_x
_atom_site_fract_y
_atom_site_fract_z
Be1 Be 0.000 0.000 0.000
Be2 Be 0.750 0.250 0.500
H1 H 0.250 0.750 0.500
H2 H 0.500 0.500 0.000
I1 I 0.056 0.625 0.931
I2 I 0.375 0.306 0.431
I3 I 0.694 0.125 0.069
I4 I 0.875 0.944 0.569


Entry 8:
# Be3HI PBE relaxed
# - energy above the lowest structure with this stoichiometry (kJ/mol of formula units) = 484.2
# - DOS(E_F) (states/eV per cell) = 3.61
# - total energy (hartree per atom) = -0.0388
# - space group = Pm-3m, No. 221
# - V (Å³/cell) = 120.1
data_Be3HI
_chemical_formula_sum 'Be3 H1 I1'
_symmetry_space_group_name_H-M 'P 1'
_symmetry_Int_Tables_number 1
_symmetry_space_group_name_Hall 'P 1'
_cell_length_a 4.934
_cell_length_b 4.934
_cell_length_c 4.934
_cell_angle_alpha 90.00
_cell_angle_beta 90.00
_cell_angle_gamma 90.00
loop_
_atom_site_label
_atom_site_type_symbol
_atom_site_fract_x
_atom_site_fract_y
_atom_site_fract_z
Be1 Be 0.000 0.000 0.500
Be2 Be 0.000 0.500 0.000
Be3 Be 0.500 0.000 0.000
H1 H 0.500 0.500 0.500
I1 I 0.000 0.000 0.000